Density functional theory data (GGA-PBE) for RbNpMnCl6 after structural relaxation.

Computed properties:
- Raw formation energy: -1.522 eV per atom
- Energy: -5.317 eV per atom
- Crystal system: orthorhombic

```
data_RbNpMnCl6
_chemical_formula_sum 'Rb4 Np4 Mn4 Cl24'
_space_group_name_H-M_alt 'I m m a'
_space_group_IT_number 74
_space_group_name_Hall '-I 2b 2'
_cell_length_a 9.411
_cell_length_b 10.003
_cell_length_c 13.786
_cell_angle_alpha 90.00
_cell_angle_beta 90.00
_cell_angle_gamma 90.00
loop_
_atom_site_label
_atom_site_fract_x
_atom_site_fract_y
_atom_site_fract_z
_atom_site_occupancy
Rb1 0.000 0.250 0.023 1
Np1 0.000 0.000 0.500 1
Mn1 0.250 0.250 0.750 1
Cl1 0.000 0.250 0.416 1
Cl2 0.000 0.250 0.790 1
Cl3 0.224 0.067 0.618 1
```